No. 1
A relaxed structure of Sr2SmCu2O6. Source: Alexandria via LeMat-Bulk, functional PBE-GGA.

Properties
Final energy ... -66.2 eV/cell
Spin magnetization ... 3.08 μB/cell
Fermi-level density of states ... 0.280 states/eV per atom
ΔE_f (raw) ... -1.836 eV/atom

abc: 6.887 6.887 6.887
angles: 51.31 51.31 51.31
Atoms (fractional coordinates):
Sr 0.201 0.201 0.201
Sr 0.799 0.799 0.799
Sm 0.000 0.000 0.000
Cu 0.424 0.424 0.424
Cu 0.576 0.576 0.576
O 0.223 0.750 0.750
O 0.250 0.250 0.777
O 0.250 0.777 0.250
O 0.750 0.223 0.750
O 0.750 0.750 0.223
O 0.777 0.250 0.250



No. 2
A relaxed structure of Sr2SmCuO4. Source: Alexandria via LeMat-Bulk, functional PBE-GGA.

Properties
Final energy ... -50.2 eV/cell
Spin magnetization ... 0.05 μB/cell
ΔE_f (raw) ... -2.279 eV/atom

abc: 6.095 3.551 6.182
angles: 90.00 111.13 90.00
Atoms (fractional coordinates):
Sr 0.000 0.000 0.000
Sr 0.500 0.500 0.000
Sm 0.000 0.500 0.500
Cu 0.500 0.000 0.500
O 0.223 0.000 0.742
O 0.244 0.500 0.268
O 0.756 0.500 0.732
O 0.777 0.000 0.258



No. 3
A relaxed structure of Sr2SmTaCu2O8. Source: Alexandria via LeMat-Bulk, functional PBE-GGA.

Properties
Final energy ... -101.0 eV/cell
Spin magnetization ... 0.00 μB/cell
Fermi-level density of states ... 0.210 states/eV per atom
ΔE_f (raw) ... -2.370 eV/atom

abc: 3.940 3.940 11.753
angles: 90.00 90.00 90.00
Atoms (fractional coordinates):
Sr 0.000 0.000 0.201
Sr 0.000 0.000 0.799
Sm 0.000 0.000 0.500
Ta 0.500 0.500 0.000
Cu 0.500 0.500 0.359
Cu 0.500 0.500 0.641
O 0.000 0.500 0.000
O 0.000 0.500 0.372
O 0.000 0.500 0.628
O 0.500 0.000 0.000
O 0.500 0.000 0.372
O 0.500 0.000 0.628
O 0.500 0.500 0.169
O 0.500 0.500 0.831



No. 4
A relaxed structure of SmCuTeO6. Source: Alexandria via LeMat-Bulk, functional PBE-GGA.

Properties
Final energy ... -108.6 eV/cell
Spin magnetization ... 4.11 μB/cell
Fermi-level density of states ... 0.489 states/eV per atom
ΔE_f (raw) ... -1.397 eV/atom

abc: 4.952 4.952 9.654
angles: 90.00 90.00 90.00
Atoms (fractional coordinates):
Sm 0.000 0.000 0.000
Sm 0.500 0.500 0.500
Cu 0.000 0.000 0.330
Cu 0.500 0.500 0.830
Te 0.000 0.000 0.661
Te 0.500 0.500 0.161
O 0.172 0.172 0.500
O 0.198 0.198 0.803
O 0.220 0.220 0.172
O 0.280 0.720 0.672
O 0.302 0.698 0.303
O 0.328 0.672 0.000
O 0.672 0.328 0.000
O 0.698 0.302 0.303
O 0.720 0.280 0.672
O 0.780 0.780 0.172
O 0.802 0.802 0.803
O 0.828 0.828 0.500



No. 5
A relaxed structure of Sm2CuTeO6. Source: Alexandria via LeMat-Bulk, functional PBE-GGA.

Properties
Final energy ... -66.8 eV/cell
Spin magnetization ... 0.00 μB/cell
Fermi-level density of states ... 0.236 states/eV per atom
ΔE_f (raw) ... -2.033 eV/atom

abc: 5.904 5.904 5.904
angles: 58.43 58.43 58.43
Atoms (fractional coordinates):
Sm 0.000 0.000 0.000
Sm 0.497 0.497 0.497
Cu 0.220 0.220 0.220
Te 0.717 0.717 0.717
O 0.074 0.437 0.850
O 0.359 0.921 0.588
O 0.437 0.850 0.074
O 0.588 0.359 0.921
O 0.850 0.074 0.437
O 0.921 0.588 0.359



No. 6
A relaxed structure of Sm2Ti12Cu9O36. Source: Alexandria via LeMat-Bulk, functional PBE-GGA.

Properties
Final energy ... -454.5 eV/cell
Spin magnetization ... 8.94 μB/cell
Fermi-level density of states ... 0.124 states/eV per atom
ΔE_f (raw) ... -2.288 eV/atom

abc: 10.534 10.534 6.471
angles: 90.00 90.00 120.00
Atoms (fractional coordinates):
Sm 0.333 0.667 0.171
Sm 0.667 0.333 0.829
Ti 0.000 0.000 0.000
Ti 0.000 0.500 0.000
Ti 0.157 0.839 0.338
Ti 0.161 0.318 0.338
Ti 0.318 0.157 0.662
Ti 0.333 0.667 0.659
Ti 0.500 0.000 0.000
Ti 0.500 0.500 0.000
Ti 0.667 0.333 0.341
Ti 0.682 0.843 0.338
Ti 0.839 0.682 0.662
Ti 0.843 0.161 0.662
Cu 0.000 0.500 0.500
Cu 0.168 0.337 0.839
Cu 0.168 0.832 0.839
Cu 0.337 0.168 0.161
Cu 0.500 0.000 0.500
Cu 0.500 0.500 0.500
Cu 0.663 0.832 0.839
Cu 0.832 0.168 0.161
Cu 0.832 0.663 0.161
O 0.016 0.852 0.170
O 0.044 0.776 0.589
O 0.074 0.625 0.250
O 0.117 0.410 0.088
O 0.148 0.164 0.170
O 0.164 0.016 0.830
O 0.176 0.649 0.853
O 0.192 0.509 0.486
O 0.224 0.269 0.589
O 0.269 0.044 0.411
O 0.293 0.883 0.088
O 0.316 0.808 0.486
O 0.351 0.527 0.853
O 0.375 0.449 0.250
O 0.410 0.293 0.912
O 0.449 0.074 0.750
O 0.473 0.824 0.853
O 0.491 0.684 0.486
O 0.509 0.316 0.514
O 0.527 0.176 0.147
O 0.551 0.926 0.250
O 0.590 0.707 0.088
O 0.625 0.551 0.750
O 0.649 0.473 0.147
O 0.684 0.192 0.514
O 0.707 0.117 0.912
O 0.731 0.956 0.589
O 0.776 0.731 0.411
O 0.808 0.491 0.514
O 0.824 0.351 0.147
O 0.836 0.984 0.170
O 0.852 0.836 0.830
O 0.883 0.590 0.912
O 0.926 0.375 0.750
O 0.956 0.224 0.411
O 0.984 0.148 0.830



No. 7
A relaxed structure of SmTi4Cu3O12. Source: Alexandria via LeMat-Bulk, functional PBE-GGA.

Properties
Final energy ... -155.6 eV/cell
Spin magnetization ... 2.01 μB/cell
Fermi-level density of states ... 0.244 states/eV per atom
ΔE_f (raw) ... -2.376 eV/atom

abc: 6.487 6.487 6.487
angles: 109.47 109.47 109.47
Atoms (fractional coordinates):
Sm 0.000 0.000 0.000
Ti 0.000 0.000 0.500
Ti 0.000 0.500 0.000
Ti 0.500 0.000 0.000
Ti 0.500 0.500 0.500
Cu 0.000 0.500 0.500
Cu 0.500 0.000 0.500
Cu 0.500 0.500 0.000
O 0.120 0.297 0.823
O 0.177 0.474 0.297
O 0.177 0.880 0.703
O 0.297 0.177 0.474
O 0.297 0.823 0.120
O 0.474 0.297 0.177
O 0.526 0.703 0.823
O 0.703 0.177 0.880
O 0.703 0.823 0.526
O 0.823 0.120 0.297
O 0.823 0.526 0.703
O 0.880 0.703 0.177